[1]
# CaTcIr (GGA-PBE, optimized geometry)
data_CaTcIr
_cell_length_a 5.8795
_cell_length_b 5.3975
_cell_length_c 4.0990
_cell_angle_alpha 90.00
_cell_angle_beta 90.00
_cell_angle_gamma 102.77
_space_group_name_H-M_alt 'P 1'
_space_group_IT_number 1
loop_
_space_group_symop_operation_xyz
'x,y,z'
loop_
_atom_site_label
_atom_site_type_symbol
_atom_site_fract_x
_atom_site_fract_y
_atom_site_fract_z
_atom_site_occupancy
Ir1 Ir 0.9993 0.6585 0.2950 1
Ca1 Ca 0.5082 0.2916 0.2948 1
Tc1 Tc 0.1278 0.4357 0.7950 1
Tc2 Tc 0.9922 0.1618 0.2950 1
Ir2 Ir 0.1566 0.9504 0.7950 1
Ca2 Ca 0.6417 0.8154 0.7948 1
# E_form (eV/atom): -0.011
# Distance to the lowest polymorph of the same formula (eV/f.u.): 0.43
# Calculated total energy (eV/f.u.): -21.26
# V (Å³ per atom): 21.14
# SG: Pm


[2]
# CaTcIr (GGA-PBE, optimized geometry)
data_CaTcIr
_cell_length_a 4.5003
_cell_length_b 4.5003
_cell_length_c 4.5003
_cell_angle_alpha 60.00
_cell_angle_beta 60.00
_cell_angle_gamma 60.00
_space_group_name_H-M_alt 'P 1'
_space_group_IT_number 1
loop_
_space_group_symop_operation_xyz
'x,y,z'
loop_
_atom_site_label
_atom_site_type_symbol
_atom_site_fract_x
_atom_site_fract_y
_atom_site_fract_z
_atom_site_occupancy
Tc1 Tc 0.5000 0.5000 0.5000 1
Ir1 Ir 0.0000 0.0000 0.0000 1
Ca1 Ca 0.7500 0.7500 0.7500 1
# E_form (eV/atom): 1.504
# Distance to the lowest polymorph of the same formula (eV/f.u.): 4.97
# Calculated total energy (eV/f.u.): -16.72
# V (Å³ per atom): 21.48
# SG: F-43m


[3]
# CaTc2Ir (GGA-PBE, optimized geometry)
data_CaTc2Ir
_cell_length_a 4.5266
_cell_length_b 4.5266
_cell_length_c 4.5266
_cell_angle_alpha 60.00
_cell_angle_beta 60.00
_cell_angle_gamma 60.00
_space_group_name_H-M_alt 'P 1'
_space_group_IT_number 1
loop_
_space_group_symop_operation_xyz
'x,y,z'
loop_
_atom_site_label
_atom_site_type_symbol
_atom_site_fract_x
_atom_site_fract_y
_atom_site_fract_z
_atom_site_occupancy
Ir1 Ir 0.7500 0.7500 0.7500 1
Ca1 Ca 0.5000 0.5000 0.5000 1
Tc1 Tc 0.2500 0.2500 0.2500 1
Tc2 Tc 0.0000 0.0000 0.0000 1
# E_form (eV/atom): 0.384
# Distance to the lowest polymorph of the same formula (eV/f.u.): 0.73
# Calculated total energy (eV/f.u.): -30.06
# V (Å³ per atom): 16.40
# SG: F-43m


[4]
# CaTcIr (GGA-PBE, optimized geometry)
data_CaTcIr
_cell_length_a 6.1814
_cell_length_b 4.4080
_cell_length_c 9.4443
_cell_angle_alpha 90.00
_cell_angle_beta 90.00
_cell_angle_gamma 90.00
_space_group_name_H-M_alt 'P 1'
_space_group_IT_number 1
loop_
_space_group_symop_operation_xyz
'x,y,z'
loop_
_atom_site_label
_atom_site_type_symbol
_atom_site_fract_x
_atom_site_fract_y
_atom_site_fract_z
_atom_site_occupancy
Ir1 Ir 0.1608 0.7500 0.9158 1
Ca1 Ca 0.1462 0.7500 0.6050 1
Ca2 Ca 0.6462 0.7500 0.8950 1
Tc1 Tc 0.9936 0.7500 0.1476 1
Tc2 Tc 0.5064 0.2500 0.6476 1
Ir2 Ir 0.8392 0.2500 0.0842 1
Ca3 Ca 0.8538 0.2500 0.3950 1
Tc3 Tc 0.4936 0.7500 0.3524 1
Tc4 Tc 0.0064 0.2500 0.8524 1
Ir3 Ir 0.3392 0.2500 0.4158 1
Ir4 Ir 0.6608 0.7500 0.5842 1
Ca4 Ca 0.3538 0.2500 0.1050 1
# E_form (eV/atom): 0.262
# Distance to the lowest polymorph of the same formula (eV/f.u.): 1.25
# Calculated total energy (eV/f.u.): -20.44
# V (Å³ per atom): 21.44
# SG: Pnma


[5]
# CaTc2Ir (GGA-PBE, optimized geometry)
data_CaTc2Ir
_cell_length_a 4.8391
_cell_length_b 2.8412
_cell_length_c 4.9110
_cell_angle_alpha 83.67
_cell_angle_beta 90.00
_cell_angle_gamma 90.00
_space_group_name_H-M_alt 'P 1'
_space_group_IT_number 1
loop_
_space_group_symop_operation_xyz
'x,y,z'
loop_
_atom_site_label
_atom_site_type_symbol
_atom_site_fract_x
_atom_site_fract_y
_atom_site_fract_z
_atom_site_occupancy
Ir1 Ir 0.5000 0.7500 0.7500 1
Ca1 Ca 0.5000 0.2500 0.2500 1
Tc1 Tc 0.0000 0.5717 0.5081 1
Tc2 Tc 0.0000 0.9283 0.9919 1
# E_form (eV/atom): 0.425
# Distance to the lowest polymorph of the same formula (eV/f.u.): 0.89
# Calculated total energy (eV/f.u.): -29.90
# V (Å³ per atom): 16.78
# SG: P2/m


[6]
# Ca2TcIr (GGA-PBE, optimized geometry)
data_Ca2TcIr
_cell_length_a 4.7889
_cell_length_b 4.7889
_cell_length_c 4.7889
_cell_angle_alpha 120.02
_cell_angle_beta 120.02
_cell_angle_gamma 89.96
_space_group_name_H-M_alt 'P 1'
_space_group_IT_number 1
loop_
_space_group_symop_operation_xyz
'x,y,z'
loop_
_atom_site_label
_atom_site_type_symbol
_atom_site_fract_x
_atom_site_fract_y
_atom_site_fract_z
_atom_site_occupancy
Tc1 Tc 0.7500 0.2500 0.5000 1
Ca1 Ca 0.2500 0.7500 0.5000 1
Ir1 Ir 0.5000 0.5000 0.0000 1
Ca2 Ca 0.0000 0.0000 0.0000 1
# E_form (eV/atom): 0.385
# Distance to the lowest polymorph of the same formula (eV/f.u.): 1.24
# Calculated total energy (eV/f.u.): -21.69
# V (Å³ per atom): 19.41
# SG: F-43m


[7]
# CaTcIr (GGA-PBE, optimized geometry)
data_CaTcIr
_cell_length_a 4.1420
_cell_length_b 4.1420
_cell_length_c 9.3206
_cell_angle_alpha 90.00
_cell_angle_beta 90.00
_cell_angle_gamma 120.00
_space_group_name_H-M_alt 'P 1'
_space_group_IT_number 1
loop_
_space_group_symop_operation_xyz
'x,y,z'
loop_
_atom_site_label
_atom_site_type_symbol
_atom_site_fract_x
_atom_site_fract_y
_atom_site_fract_z
_atom_site_occupancy
Ca1 Ca 0.0000 0.0000 0.0000 1
Tc1 Tc 0.6667 0.3333 0.7500 1
Ir1 Ir 0.3333 0.6667 0.7500 1
Tc2 Tc 0.3333 0.6667 0.2500 1
Ca2 Ca 0.0000 0.0000 0.5000 1
Ir2 Ir 0.6667 0.3333 0.2500 1
# E_form (eV/atom): 0.134
# Distance to the lowest polymorph of the same formula (eV/f.u.): 0.86
# Calculated total energy (eV/f.u.): -20.83
# V (Å³ per atom): 23.08
# SG: P6_3/mmc


[8]
# CaTcIr (GGA-PBE, optimized geometry)
data_CaTcIr
_cell_length_a 5.8846
_cell_length_b 5.4348
_cell_length_c 4.0543
_cell_angle_alpha 90.00
_cell_angle_beta 90.00
_cell_angle_gamma 101.64
_space_group_name_H-M_alt 'P 1'
_space_group_IT_number 1
loop_
_space_group_symop_operation_xyz
'x,y,z'
loop_
_atom_site_label
_atom_site_type_symbol
_atom_site_fract_x
_atom_site_fract_y
_atom_site_fract_z
_atom_site_occupancy
Tc1 Tc 0.1474 0.8553 0.7949 1
Ir1 Ir 0.9984 0.5683 0.2949 1
Ca1 Ca 0.5109 0.2049 0.2949 1
Ca2 Ca 0.6310 0.7081 0.7949 1
Tc2 Tc 0.9945 0.0578 0.2950 1
Ir2 Ir 0.1435 0.3448 0.7949 1
# E_form (eV/atom): -0.002
# Distance to the lowest polymorph of the same formula (eV/f.u.): 0.45
# Calculated total energy (eV/f.u.): -21.24
# V (Å³ per atom): 21.17
# SG: P2_1/m


[9]
# CaTcIr2 (GGA-PBE, optimized geometry)
data_CaTcIr2
_cell_length_a 3.6605
_cell_length_b 2.8373
_cell_length_c 7.3583
_cell_angle_alpha 67.38
_cell_angle_beta 90.00
_cell_angle_gamma 90.00
_space_group_name_H-M_alt 'P 1'
_space_group_IT_number 1
loop_
_space_group_symop_operation_xyz
'x,y,z'
loop_
_atom_site_label
_atom_site_type_symbol
_atom_site_fract_x
_atom_site_fract_y
_atom_site_fract_z
_atom_site_occupancy
Tc1 Tc 0.5000 0.2500 0.2500 1
Ir1 Ir 0.0000 0.9468 0.0529 1
Ca1 Ca 0.5000 0.7500 0.7500 1
Ir2 Ir 0.0000 0.5532 0.4471 1
# E_form (eV/atom): 0.036
# Distance to the lowest polymorph of the same formula (eV/f.u.): 0.53
# Calculated total energy (eV/f.u.): -29.95
# V (Å³ per atom): 17.64
# SG: Pmmm


[10]
# CaTcIr2 (GGA-PBE, optimized geometry)
data_CaTcIr2
_cell_length_a 2.7731
_cell_length_b 3.9844
_cell_length_c 6.3851
_cell_angle_alpha 90.00
_cell_angle_beta 90.00
_cell_angle_gamma 90.00
_space_group_name_H-M_alt 'P 1'
_space_group_IT_number 1
loop_
_space_group_symop_operation_xyz
'x,y,z'
loop_
_atom_site_label
_atom_site_type_symbol
_atom_site_fract_x
_atom_site_fract_y
_atom_site_fract_z
_atom_site_occupancy
Tc1 Tc 0.0000 0.0000 0.4328 1
Ca1 Ca 0.5000 0.5000 0.7653 1
Ir1 Ir 0.0000 0.0000 0.0361 1
Ir2 Ir 0.5000 0.5000 0.2659 1
# E_form (eV/atom): 0.194
# Distance to the lowest polymorph of the same formula (eV/f.u.): 1.17
# Calculated total energy (eV/f.u.): -29.31
# V (Å³ per atom): 17.64
# SG: Pmm2


[11]
# CaTc2Ir (GGA-PBE, optimized geometry)
data_CaTc2Ir
_cell_length_a 5.2320
_cell_length_b 5.2320
_cell_length_c 2.7549
_cell_angle_alpha 90.00
_cell_angle_beta 90.00
_cell_angle_gamma 119.20
_space_group_name_H-M_alt 'P 1'
_space_group_IT_number 1
loop_
_space_group_symop_operation_xyz
'x,y,z'
loop_
_atom_site_label
_atom_site_type_symbol
_atom_site_fract_x
_atom_site_fract_y
_atom_site_fract_z
_atom_site_occupancy
Ca1 Ca 0.5000 0.0000 0.5000 1
Ir1 Ir 0.0000 0.5000 0.5000 1
Tc1 Tc 0.5000 0.5000 0.0000 1
Tc2 Tc 0.0000 0.0000 0.0000 1
# E_form (eV/atom): 0.467
# Distance to the lowest polymorph of the same formula (eV/f.u.): 1.07
# Calculated total energy (eV/f.u.): -29.73
# V (Å³ per atom): 16.46
# SG: Cmmm


[12]
# CaTc2Ir (GGA-PBE, optimized geometry)
data_CaTc2Ir
_cell_length_a 4.5200
_cell_length_b 4.5200
_cell_length_c 4.5200
_cell_angle_alpha 60.00
_cell_angle_beta 60.00
_cell_angle_gamma 60.00
_space_group_name_H-M_alt 'P 1'
_space_group_IT_number 1
loop_
_space_group_symop_operation_xyz
'x,y,z'
loop_
_atom_site_label
_atom_site_type_symbol
_atom_site_fract_x
_atom_site_fract_y
_atom_site_fract_z
_atom_site_occupancy
Ca1 Ca 0.0000 0.0000 0.0000 1
Tc1 Tc 0.2500 0.2500 0.2500 1
Ir1 Ir 0.5000 0.5000 0.5000 1
Tc2 Tc 0.7500 0.7500 0.7500 1
# E_form (eV/atom): 0.579
# Distance to the lowest polymorph of the same formula (eV/f.u.): 1.51
# Calculated total energy (eV/f.u.): -29.28
# V (Å³ per atom): 16.32
# SG: Fm-3m


Q: distance to the lowest polymorph of the same formula of number 12 (CaTc2Ir)?
A: 1.51 eV/f.u.


Q: Among the records above, which one has the highest V?
A: number 7